[1]
{
  "formula": "LiPaTe",
  "functional": "PBE-GGA",
  "state": "relaxed",
  "e_tot_ev_per_atom": -5.302,
  "formation_energy_uncorrected_kj_per_mol_fu": -131,
  "cell": [[0.4049, 1.5448, 3.6453], [-7.5076, 1.0620, 0.3840], [-1.4629, -5.1680, 0.1819]],
  "species": ["Te", "Te", "Pa", "Pa", "Li", "Li"],
  "frac_coords": [[0.7414, 0.0677, 0.2556], [0.5074, 0.6781, 0.7873], [0.1090, 0.3645, 0.9906], [0.8331, 0.4531, 0.4386], [0.1853, 0.8146, 0.1431], [0.4418, 0.0978, 0.6567]]
}

=====

[2]
{
  "formula": "LiPaTe3",
  "functional": "PBE-GGA",
  "state": "relaxed",
  "e_tot_ev_per_atom": -5.054,
  "e_above_lowest_polymorph_ev_per_atom": 0.000,
  "formation_energy_uncorrected_kj_per_mol_fu": -428,
  "cell": [[4.1734, 0.0000, 0.0000], [0.0000, 14.2384, 0.0000], [0.0000, 0.0000, 9.7133]],
  "species": ["Te", "Te", "Te", "Te", "Te", "Te", "Te", "Te", "Te", "Te", "Te", "Te", "Li", "Li", "Li", "Li", "Pa", "Pa", "Pa", "Pa"],
  "frac_coords": [[0.2500, 0.8997, 0.0632], [0.7500, 0.3997, 0.4368], [0.2500, 0.3436, 0.7500], [0.7500, 0.1003, 0.9368], [0.7500, 0.8436, 0.7500], [0.2500, 0.6003, 0.5632], [0.7500, 0.1004, 0.5632], [0.2500, 0.1564, 0.2500], [0.2500, 0.6004, 0.9368], [0.2500, 0.8996, 0.4368], [0.7500, 0.3996, 0.0632], [0.7500, 0.6564, 0.2500], [0.7500, 0.7498, 0.5002], [0.2500, 0.2498, 0.9998], [0.2500, 0.2502, 0.4998], [0.7500, 0.7502, 0.0002], [0.7500, 0.0017, 0.2501], [0.2500, 0.9983, 0.7499], [0.7500, 0.4983, 0.7501], [0.2500, 0.5017, 0.2499]]
}

=====

[3]
{
  "formula": "Li2Pa2Te7",
  "functional": "PBE-GGA",
  "state": "relaxed",
  "e_tot_ev_per_atom": -4.751,
  "formation_energy_uncorrected_kj_per_mol_fu": -719,
  "cell": [[-1.8598, 0.3460, -3.7274], [-3.2286, -8.8067, -1.5503], [-9.1126, -1.7875, 2.0371]],
  "species": ["Te", "Te", "Te", "Te", "Te", "Te", "Te", "Pa", "Pa", "Li", "Li"],
  "frac_coords": [[0.1691, 0.7352, 0.9266], [0.3869, 0.7125, 0.5137], [0.8696, 0.3973, 0.8634], [0.1304, 0.1366, 0.6027], [0.8309, 0.0734, 0.2648], [0.6131, 0.4863, 0.2875], [0.5000, 0.9908, 0.0092], [0.5000, 0.3345, 0.6655], [0.0000, 0.7593, 0.2407], [0.2595, 0.3545, 0.1266], [0.7405, 0.8734, 0.6455]]
}

=====

[4]
{
  "formula": "Li2Pa3Te6",
  "functional": "PBE-GGA",
  "state": "relaxed",
  "e_tot_ev_per_atom": -5.484,
  "formation_energy_uncorrected_kj_per_mol_fu": -884,
  "cell": [[0.6181, 5.3341, 5.0057], [-0.4892, -1.5994, 7.1478], [7.4365, 0.6916, 1.9132]],
  "species": ["Pa", "Pa", "Pa", "Li", "Li", "Te", "Te", "Te", "Te", "Te", "Te"],
  "frac_coords": [[0.0000, 0.0000, 0.0000], [0.6648, 0.6705, 0.0000], [0.3352, 0.3295, 0.0000], [0.1671, 0.6658, 0.5000], [0.8329, 0.3342, 0.5000], [0.0870, 0.3329, 0.7394], [0.4198, 0.6671, 0.7394], [0.7533, 0.0000, 0.7363], [0.9130, 0.6671, 0.2606], [0.2467, 0.0000, 0.2637], [0.5802, 0.3329, 0.2606]]
}

=====

[5]
{
  "formula": "LiPa2Te5",
  "functional": "PBE-GGA",
  "state": "relaxed",
  "e_tot_ev_per_atom": -4.884,
  "e_above_lowest_polymorph_ev_per_atom": 0.451,
  "formation_energy_uncorrected_kj_per_mol_fu": -237,
  "cell": [[4.4605, 0.0000, 0.0000], [0.0000, 7.1351, 0.0000], [0.0000, 0.0000, 7.1351]],
  "species": ["Te", "Te", "Te", "Te", "Te", "Pa", "Pa", "Li"],
  "frac_coords": [[0.5000, 0.0000, 0.0000], [0.0000, 0.7233, 0.2767], [0.0000, 0.7233, 0.7233], [0.0000, 0.2767, 0.7233], [0.0000, 0.2767, 0.2767], [0.5000, 0.0000, 0.5000], [0.5000, 0.5000, 0.0000], [0.0000, 0.0000, 0.0000]]
}

=====

[6]
{
  "formula": "LiPa6Te12",
  "functional": "PBE-GGA",
  "state": "relaxed",
  "e_tot_ev_per_atom": -5.822,
  "formation_energy_uncorrected_kj_per_mol_fu": -1353,
  "cell": [[8.7893, -0.1530, -0.1832], [-1.4837, 8.6646, -0.1832], [-1.4837, -1.7286, 8.4924]],
  "species": ["Te", "Te", "Te", "Te", "Te", "Te", "Te", "Te", "Te", "Te", "Te", "Te", "Li", "Pa", "Pa", "Pa", "Pa", "Pa", "Pa"],
  "frac_coords": [[0.4226, 0.5625, 0.1764], [0.4375, 0.8236, 0.5774], [0.0640, 0.9665, 0.3170], [0.5625, 0.1764, 0.4226], [0.0335, 0.6830, 0.9360], [0.9665, 0.3170, 0.0640], [0.5774, 0.4375, 0.8236], [0.8236, 0.5774, 0.4375], [0.9360, 0.0335, 0.6830], [0.3170, 0.0640, 0.9665], [0.1764, 0.4226, 0.5625], [0.6830, 0.9360, 0.0335], [0.0000, 0.0000, 0.0000], [0.6360, 0.2984, 0.1286], [0.1286, 0.6360, 0.2984], [0.3640, 0.7016, 0.8714], [0.8714, 0.3640, 0.7016], [0.7016, 0.8714, 0.3640], [0.2984, 0.1286, 0.6360]]
}

=====

[7]
{
  "formula": "Li3PaTe4",
  "functional": "PBE-GGA",
  "state": "relaxed",
  "e_tot_ev_per_atom": -4.399,
  "e_above_lowest_polymorph_ev_per_atom": 0.000,
  "formation_energy_uncorrected_kj_per_mol_fu": -713,
  "cell": [[7.4551, 0.0414, 0.0000], [-2.5662, 6.9131, 0.0000], [0.0000, 0.0000, 8.5924]],
  "species": ["Pa", "Pa", "Li", "Li", "Li", "Li", "Li", "Li", "Te", "Te", "Te", "Te", "Te", "Te", "Te", "Te"],
  "frac_coords": [[0.2500, 0.0000, 0.1456], [0.7500, 0.0000, 0.8544], [0.2500, 0.5000, 0.3837], [0.7500, 0.5000, 0.6163], [0.2500, 0.0000, 0.6151], [0.2500, 0.5000, 0.8656], [0.7500, 0.5000, 0.1344], [0.7500, 0.0000, 0.3849], [0.0020, 0.7426, 0.3770], [0.0010, 0.7554, 0.8830], [0.9980, 0.2574, 0.6230], [0.4980, 0.2574, 0.3770], [0.5010, 0.7554, 0.1170], [0.4990, 0.2446, 0.8830], [0.9990, 0.2446, 0.1170], [0.5020, 0.7426, 0.6230]]
}

=====

[8]
{
  "formula": "Li2Pa2Te5",
  "functional": "PBE-GGA",
  "state": "relaxed",
  "e_tot_ev_per_atom": -5.061,
  "formation_energy_uncorrected_kj_per_mol_fu": -678,
  "cell": [[7.8768, 0.0000, 0.0000], [0.0000, 7.4235, 0.0000], [-3.9384, -3.7118, 9.0586]],
  "species": ["Pa", "Pa", "Pa", "Pa", "Te", "Te", "Te", "Te", "Te", "Te", "Te", "Te", "Te", "Te", "Li", "Li", "Li", "Li"],
  "frac_coords": [[0.8421, 0.4348, 0.8211], [0.5210, 0.1136, 0.1789], [0.4790, 0.9348, 0.8211], [0.1579, 0.6136, 0.1789], [0.2540, 0.0565, 0.3059], [0.8108, 0.2696, 0.0698], [0.7590, 0.7696, 0.0698], [0.4481, 0.2506, 0.6941], [0.7460, 0.7506, 0.6941], [0.1892, 0.1998, 0.9302], [0.5519, 0.5565, 0.3059], [0.2410, 0.6998, 0.9302], [0.8090, 0.2084, 0.5000], [0.1910, 0.7084, 0.5000], [0.8646, 0.8420, 0.5000], [0.0000, 0.9606, 0.0000], [0.1354, 0.3420, 0.5000], [0.5000, 0.4606, 0.0000]]
}